Entry 1:
Material: DyFeP
Method: DFT, PBE
State: relaxed

Cell lengths 3.8395, 3.8395, 7.2261 Å; angles 105.41, 105.41, 90.00 degrees
Last column: magnetic moment on the atom in μB.
Positions (direct):
1 P 0.1009 0.1009 0.2017  -0.01
2 P 0.8991 0.8991 0.7983  -0.01
3 Fe 0.0000 0.5000 0.0000  0.16
4 Fe 0.5000 0.0000 0.0000  0.16
5 Dy 0.6574 0.6574 0.3148  0.01
6 Dy 0.3426 0.3426 0.6852  0.01

space-group type: I4/mmm, No. 139



Entry 2:
Material: DyFeP2Ru
Method: DFT, PBE
State: relaxed

Cell lengths 3.9454, 3.9454, 5.5290 Å; angles 110.90, 110.90, 90.00 degrees
Positions (direct):
1 Dy 0.0000 0.0000 0.0000
2 Fe 0.2500 0.7500 0.5000
3 P 0.6274 0.6274 0.2547
4 P 0.3726 0.3726 0.7453
5 Ru 0.7500 0.2500 0.5000

space-group type: I-4m2, No. 119



Entry 3:
Material: DyFeTcP2
Method: DFT, PBE
State: relaxed

Cell lengths 3.9944, 3.9944, 5.5383 Å; angles 111.14, 111.14, 90.00 degrees
Positions (direct):
1 Dy 0.0000 0.0000 0.0000
2 Fe 0.7500 0.2500 0.5000
3 Tc 0.2500 0.7500 0.5000
4 P 0.6307 0.6307 0.2613
5 P 0.3693 0.3693 0.7387

space-group type: I-4m2, No. 119



Entry 4:
Material: DyVFeP2
Method: DFT, PBE
State: relaxed

Cell lengths 3.8872, 3.8872, 5.7007 Å; angles 109.93, 109.93, 90.00 degrees
Last column: magnetic moment on the atom in μB.
Positions (direct):
1 Dy 0.0000 0.0000 0.0000  0.04
2 V 0.7500 0.2500 0.5000  1.19
3 Fe 0.2500 0.7500 0.5000  1.21
4 P 0.6252 0.6252 0.2504  -0.03
5 P 0.3748 0.3748 0.7496  -0.03

space-group type: I-4m2, No. 119



Entry 5:
Material: Dy2PaFe
Method: DFT, PBE
State: relaxed

Cell lengths 3.2586, 3.2586, 10.6698 Å; angles 81.22, 81.22, 60.00 degrees
Last column: magnetic moment on the atom in μB.
Positions (direct):
1 Pa 0.0000 0.0000 0.0000  0.08
2 Fe 0.5000 0.5000 0.5000  1.50
3 Dy 0.1034 0.1034 0.6898  -0.19
4 Dy 0.8966 0.8966 0.3102  -0.19

space-group type: R-3m, No. 166



Entry 6:
Material: DyPaFe
Method: DFT, PBE
State: relaxed

Cell lengths 6.0352, 6.7488, 6.9609 Å; angles 108.63, 90.00, 90.00 degrees
Positions (direct):
1 Dy 0.8504 0.3681 0.1424
2 Dy 0.3504 0.6319 0.3576
3 Dy 0.1496 0.6319 0.8576
4 Dy 0.6496 0.3681 0.6424
5 Pa 0.8204 0.9123 0.2929
6 Pa 0.3204 0.0877 0.2071
7 Pa 0.1796 0.0877 0.7071
8 Pa 0.6796 0.9123 0.7929
9 Fe 0.1058 0.2785 0.4690
10 Fe 0.6058 0.7215 0.0310
11 Fe 0.8942 0.7215 0.5310
12 Fe 0.3942 0.2785 0.9690

space-group type: P2_1/c, No. 14



Entry 7:
Material: DyPaFe2
Method: DFT, PBE
State: relaxed

Cell lengths 3.3040, 3.3040, 6.7705 Å; angles 90.00, 90.00, 90.00 degrees
Last column: magnetic moment on the atom in μB.
Positions (direct):
1 Pa 0.5000 0.5000 0.0000  -0.43
2 Fe 0.0000 0.0000 0.7961  0.77
3 Fe 0.0000 0.0000 0.2039  0.77
4 Dy 0.5000 0.5000 0.5000  -0.13

space-group type: P4/mmm, No. 123



Entry 8:
Material: DyPaFe2
Method: DFT, PBE
State: relaxed

Cell lengths 4.7077, 4.7077, 4.7077 Å; angles 60.00, 60.00, 60.00 degrees
Last column: magnetic moment on the atom in μB.
Positions (direct):
1 Pa 0.5000 0.5000 0.5000  -0.53
2 Fe 0.2500 0.2500 0.2500  0.97
3 Fe 0.7500 0.7500 0.7500  0.97
4 Dy 0.0000 0.0000 0.0000  -0.24

space-group type: Fm-3m, No. 225



Number 1: E_form -0.9088 eV/atom. Number 2: E_form -0.9872 eV/atom. Number 3: E_form -0.9225 eV/atom. Number 4: E_form -0.9099 eV/atom. Number 5: E_form 0.4296 eV/atom. Number 6: E_form -0.1505 eV/atom. Number 7: E_form -0.0626 eV/atom. Number 8: E_form 0.0691 eV/atom.